No. 1
# PBE Ga2CuH2, optimized geometry
# Uncorrected energy = -0.2253 Ry/atom
# Crystal system = tetragonal
data_Ga2CuH2
_chemical_formula_sum 'Ga4 Cu2 H4'
_cell_length_a 2.9873
_cell_length_b 2.9873
_cell_length_c 12.1065
_cell_angle_alpha 90.00
_cell_angle_beta 90.00
_cell_angle_gamma 90.00
_symmetry_space_group_name_H-M 'I 4/m m m'
_symmetry_Int_Tables_number 139
_symmetry_space_group_name_Hall '-I 4 2'
loop_
_atom_site_label
_atom_site_type_symbol
_atom_site_fract_x
_atom_site_fract_y
_atom_site_fract_z
_atom_site_occupancy
Ga1 Ga 0.0000 0.0000 0.1363 1
Cu1 Cu 0.0000 0.0000 0.5000 1
H1 H 0.0000 0.5000 0.2500 1

No. 2
# PBE Ta3ReTe, optimized geometry
# ΔE_f (raw) = 1.161 eV per atom
# Crystal system = cubic
data_Ta3ReTe
_chemical_formula_sum 'Ta3 Re1 Te1'
_cell_length_a 4.9069
_cell_length_b 4.9069
_cell_length_c 4.9069
_cell_angle_alpha 90.00
_cell_angle_beta 90.00
_cell_angle_gamma 90.00
_symmetry_space_group_name_H-M 'P m -3 m'
_symmetry_Int_Tables_number 221
_symmetry_space_group_name_Hall '-P 4 2 3'
loop_
_atom_site_label
_atom_site_type_symbol
_atom_site_fract_x
_atom_site_fract_y
_atom_site_fract_z
_atom_site_occupancy
Ta1 Ta 0.0000 0.0000 0.5000 1
Re1 Re 0.0000 0.0000 0.0000 1
Te1 Te 0.5000 0.5000 0.5000 1

no.,D(E_F) (states/eV/cell)
1,1.751
2,4.532